1.
DFT (PBE-GGA) results for a relaxed Tb2BeNiPt6 crystal.

Computed properties:
Volume   18.4 A^3/atom
Total moment   0.063 μB/atom
ΔE_f   -0.729 eV per atom

Cell: 5.543 5.543 7.615 Å, 111.25 111.25 60.10°
Fractional coordinates of all 10 atoms:
Tb1 0.204 0.204 0.113
Tb2 0.796 0.796 0.887
Be1 0.000 0.000 0.500
Ni1 0.500 0.500 0.000
Pt1 0.242 0.242 0.719
Pt2 0.242 0.735 0.719
Pt3 0.265 0.758 0.281
Pt4 0.735 0.242 0.719
Pt5 0.758 0.265 0.281
Pt6 0.758 0.758 0.281

2.
DFT (PBE-GGA) results for a relaxed TbBe4NiPt2 crystal.

Computed properties:
Volume   13.1 A^3/atom
Total moment   0.000 μB/atom
ΔE_f   -0.651 eV per atom

Cell: 8.305 8.305 8.305 Å, 27.05 27.05 27.05°
Fractional coordinates of all 8 atoms:
Tb1 0.000 0.000 0.000
Be1 0.135 0.135 0.135
Be2 0.410 0.410 0.410
Be3 0.590 0.590 0.590
Be4 0.865 0.865 0.865
Ni1 0.500 0.500 0.500
Pt1 0.235 0.235 0.235
Pt2 0.765 0.765 0.765

3.
DFT (PBE-GGA) results for a relaxed Be2TcNiPt crystal.

Computed properties:
Volume   16.3 A^3/atom
Total moment   0.096 μB/atom
ΔE_f   1.173 eV per atom

Cell: 4.158 4.158 4.711 Å, 90.00 90.00 90.00°
Fractional coordinates of all 5 atoms:
Be1 0.000 0.500 0.000
Be2 0.500 0.000 0.000
Tc1 0.000 0.000 0.000
Ni1 0.500 0.500 0.500
Pt1 0.000 0.000 0.500

4.
DFT (PBE-GGA) results for a relaxed Tm2Be3NiPt4 crystal.

Computed properties:
Volume   15.4 A^3/atom
Total moment   0.000 μB/atom
ΔE_f   -0.869 eV per atom

Cell: 3.953 3.953 9.885 Å, 90.00 90.00 90.00°
Fractional coordinates of all 10 atoms:
Tm1 0.000 0.500 0.249
Tm2 0.500 0.000 0.751
Be1 0.000 0.000 0.000
Be2 0.000 0.500 0.623
Be3 0.500 0.000 0.377
Ni1 0.500 0.500 0.000
Pt1 0.000 0.000 0.500
Pt2 0.000 0.500 0.851
Pt3 0.500 0.000 0.149
Pt4 0.500 0.500 0.500

5.
DFT (PBE-GGA) results for a relaxed YBeNi2Pt crystal.

Computed properties:
Volume   15.8 A^3/atom
Total moment   0.000 μB/atom
ΔE_f   0.040 eV per atom

Cell: 3.996 3.996 4.959 Å, 90.00 90.00 90.00°
Fractional coordinates of all 5 atoms:
Y1 0.000 0.000 0.000
Be1 0.000 0.000 0.500
Ni1 0.000 0.500 0.500
Ni2 0.500 0.000 0.500
Pt1 0.500 0.500 0.000

6.
DFT (PBE-GGA) results for a relaxed YBeNiPt2 crystal.

Computed properties:
Volume   15.8 A^3/atom
Total moment   0.000 μB/atom
ΔE_f   -0.670 eV per atom

Cell: 4.369 4.369 4.140 Å, 90.00 90.00 90.00°
Fractional coordinates of all 5 atoms:
Y1 0.000 0.000 0.000
Be1 0.500 0.500 0.500
Ni1 0.500 0.500 0.000
Pt1 0.000 0.500 0.500
Pt2 0.500 0.000 0.500

7.
DFT (PBE-GGA) results for a relaxed YBe4NiPt2 crystal.

Computed properties:
Volume   13.0 A^3/atom
Total moment   0.000 μB/atom
ΔE_f   -0.659 eV per atom

Cell: 8.266 8.266 8.266 Å, 27.19 27.19 27.19°
Fractional coordinates of all 8 atoms:
Y1 0.000 0.000 0.000
Be1 0.135 0.135 0.135
Be2 0.410 0.410 0.410
Be3 0.590 0.590 0.590
Be4 0.865 0.865 0.865
Ni1 0.500 0.500 0.500
Pt1 0.236 0.236 0.236
Pt2 0.764 0.764 0.764

8.
DFT (PBE-GGA) results for a relaxed Y2Be4NiPt3 crystal.

Computed properties:
Volume   14.9 A^3/atom
Total moment   0.000 μB/atom
ΔE_f   -0.794 eV per atom

Cell: 3.939 3.939 9.600 Å, 90.00 90.00 90.00°
Fractional coordinates of all 10 atoms:
Y1 0.000 0.500 0.246
Y2 0.500 0.000 0.754
Be1 0.000 0.000 0.500
Be2 0.000 0.500 0.878
Be3 0.500 0.000 0.122
Be4 0.500 0.500 0.500
Ni1 0.500 0.500 0.000
Pt1 0.000 0.000 0.000
Pt2 0.000 0.500 0.631
Pt3 0.500 0.000 0.369

- volume of number 7 (YBe4NiPt2)?
  13.0 A^3/atom